VASP calculation (PBE-GGA) on ScCuTe2 after structural relaxation.

Summary:
As for the density of states at the Fermi level: 0.528 states/eV per atom. As for the total magnetization: 0.0000 μB/atom. For the total energy, the calculation gives -18.13 eV for the cell shown. The uncorrected formation energy is -0.355 eV/atom.

Lattice parameters (Å, degrees): 7.7999 4.8912 3.6927 90.00 61.74 128.22
Closest atoms and distances in Å follow each position.
Positions (direct):
1 Te 0.5000 0.0000 0.5000  4 Sc 3.06, 4 Cu 3.06
2 Te 0.0000 0.0000 0.0000  4 Cu 3.06, 4 Sc 3.06
3 Cu 0.0000 0.5000 0.5000  8 Te 3.06
4 Sc 0.5000 0.5000 0.0000  8 Te 3.06